Entry 1:
Material: LaIn2Bi
Method: DFT, PBE
State: relaxed

Output
ΔH_f (0 K) (meV/atom): -522

Cell lengths 4.8290, 4.8290, 4.9738 Å; angles 90.00, 90.00, 90.00 degrees
Sites, in units of the cell vectors:
La1 0.0000 0.0000 0.0000
In1 0.0000 0.5000 0.5000
In2 0.5000 0.0000 0.5000
Bi1 0.5000 0.5000 0.0000

***

Entry 2:
Material: La2In2Bi
Method: DFT, PBE
State: relaxed

Output
Energy above the most stable polymorph in this dataset (eV per atom): 0.523
ΔH_f (0 K) (meV/atom): -27

Cell lengths 7.5172, 7.5172, 7.5172 Å; angles 139.82, 139.82, 58.13 degrees
Sites, in units of the cell vectors:
La1 0.2500 0.7500 0.5000
La2 0.7500 0.2500 0.5000
In1 0.1016 0.1016 0.0000
In2 0.8984 0.8984 0.0000
Bi1 0.5000 0.5000 0.0000

***

Entry 3:
Material: LaIn2Bi2
Method: DFT, PBE
State: relaxed

Output
Energy above the most stable polymorph in this dataset (eV per atom): 0.300
ΔH_f (0 K) (meV/atom): -127

Cell lengths 8.1360, 8.1360, 8.1360 Å; angles 146.46, 146.46, 48.16 degrees
Sites, in units of the cell vectors:
La1 0.0000 0.0000 0.0000
In1 0.4049 0.4049 0.0000
In2 0.5951 0.5951 0.0000
Bi1 0.2500 0.7500 0.5000
Bi2 0.7500 0.2500 0.5000

***

Entry 4:
Material: La2InBi
Method: DFT, PBE
State: relaxed

Output
Energy above the most stable polymorph in this dataset (eV per atom): 0.282
ΔH_f (0 K) (meV/atom): -459

Cell lengths 7.1812, 7.1812, 7.1812 Å; angles 104.05, 104.05, 120.97 degrees
Sites, in units of the cell vectors:
La1 0.1211 0.1250 0.4961
La2 0.3750 0.8789 0.0039
La3 0.6289 0.6250 0.5039
La4 0.8750 0.3711 0.9961
In1 0.2500 0.7500 0.5000
In2 0.5000 0.5000 0.0000
Bi1 0.0000 0.0000 0.0000
Bi2 0.7500 0.2500 0.5000

***

Entry 5:
Material: LaInBi2
Method: DFT, PBE
State: relaxed

Output
ΔH_f (0 K) (meV/atom): -547

Cell lengths 5.1187, 5.1187, 4.6340 Å; angles 90.00, 90.00, 90.00 degrees
Sites, in units of the cell vectors:
La1 0.0000 0.0000 0.0000
In1 0.5000 0.5000 0.0000
Bi1 0.0000 0.5000 0.5000
Bi2 0.5000 0.0000 0.5000

***

Entry 6:
Material: La2InBi
Method: DFT, PBE
State: relaxed

Output
Energy above the most stable polymorph in this dataset (eV per atom): 0.158
ΔH_f (0 K) (meV/atom): -583

Cell lengths 5.6650, 5.6650, 5.6650 Å; angles 60.00, 60.00, 60.00 degrees
Sites, in units of the cell vectors:
La1 0.2500 0.2500 0.2500
La2 0.7500 0.7500 0.7500
In1 0.0000 0.0000 0.0000
Bi1 0.5000 0.5000 0.5000

***

Entry 7:
Material: La2InBi
Method: DFT, PBE
State: relaxed

Output
Energy above the most stable polymorph in this dataset (eV per atom): 0.123
ΔH_f (0 K) (meV/atom): -619

Cell lengths 8.7511, 8.7511, 8.7511 Å; angles 29.66, 29.66, 29.66 degrees
Sites, in units of the cell vectors:
La1 0.2457 0.2457 0.2457
La2 0.7543 0.7543 0.7543
In1 0.0000 0.0000 0.0000
Bi1 0.5000 0.5000 0.5000

***

Entry 8:
Material: LaIn2Bi
Method: DFT, PBE
State: relaxed

Output
ΔH_f (0 K) (meV/atom): -300

Cell lengths 7.0661, 7.0661, 7.0661 Å; angles 102.54, 102.54, 124.45 degrees
Sites, in units of the cell vectors:
La1 0.0000 0.0000 0.0000
La2 0.7500 0.2500 0.5000
In1 0.1463 0.6250 0.0213
In2 0.3750 0.3963 0.5213
In3 0.6037 0.1250 0.9787
In4 0.8750 0.8537 0.4787
Bi1 0.2500 0.7500 0.5000
Bi2 0.5000 0.5000 0.0000

***

Entry 9:
Material: LaIn6Bi
Method: DFT, PBE
State: relaxed

Output
ΔH_f (0 K) (meV/atom): -183

Cell lengths 6.7667, 6.7667, 5.4892 Å; angles 90.00, 90.00, 115.40 degrees
Sites, in units of the cell vectors:
La1 0.0000 0.0000 0.0000
In1 0.0000 0.5000 0.0000
In2 0.2164 0.7836 0.5000
In3 0.2847 0.2847 0.5000
In4 0.5000 0.0000 0.0000
In5 0.7153 0.7153 0.5000
In6 0.7836 0.2164 0.5000
Bi1 0.5000 0.5000 0.0000

***

Entry 10:
Material: LaIn2Bi2
Method: DFT, PBE
State: relaxed

Output
Energy above the most stable polymorph in this dataset (eV per atom): 0.107
ΔH_f (0 K) (meV/atom): -319

Cell lengths 9.0255, 9.0255, 9.0255 Å; angles 151.63, 151.63, 40.55 degrees
Sites, in units of the cell vectors:
La1 0.0000 0.0000 0.0000
In1 0.2500 0.7500 0.5000
In2 0.7500 0.2500 0.5000
Bi1 0.4082 0.4082 0.0000
Bi2 0.5918 0.5918 0.0000

***

Entry 11:
Material: La2InBi2
Method: DFT, PBE
State: relaxed

Output
Energy above the most stable polymorph in this dataset (eV per atom): 0.000
ΔH_f (0 K) (meV/atom): -715

Cell lengths 8.7516, 8.7516, 4.3798 Å; angles 90.00, 90.00, 90.00 degrees
Sites, in units of the cell vectors:
La1 0.1571 0.3429 0.0000
La2 0.3429 0.8429 0.0000
La3 0.6571 0.1571 0.0000
La4 0.8429 0.6571 0.0000
In1 0.0000 0.0000 0.5000
In2 0.5000 0.5000 0.5000
Bi1 0.1480 0.6480 0.5000
Bi2 0.3520 0.1480 0.5000
Bi3 0.6480 0.8520 0.5000
Bi4 0.8520 0.3520 0.5000

***

Entry 12:
Material: La4InBi
Method: DFT, PBE
State: relaxed

Output
Energy above the most stable polymorph in this dataset (eV per atom): 0.123
ΔH_f (0 K) (meV/atom): -368

Cell lengths 3.4819, 9.3677, 5.7318 Å; angles 90.00, 90.09, 90.00 degrees
Sites, in units of the cell vectors:
La1 0.0000 0.1663 0.0000
La2 0.0000 0.3289 0.5000
La3 0.0000 0.6711 0.5000
La4 0.0000 0.8337 0.0000
In1 0.5000 0.0000 0.5000
Bi1 0.5000 0.5000 0.0000

***

Entry 13:
Material: LaInBi2
Method: DFT, PBE
State: relaxed

Output
ΔH_f (0 K) (meV/atom): -472

Cell lengths 6.0873, 5.9998, 6.7673 Å; angles 90.00, 90.03, 90.00 degrees
Sites, in units of the cell vectors:
La1 0.1546 0.2500 0.2496
La2 0.8454 0.7500 0.7504
In1 0.1730 0.2500 0.7497
In2 0.8270 0.7500 0.2503
Bi1 0.3329 0.7500 0.0077
Bi2 0.3330 0.7500 0.4934
Bi3 0.6670 0.2500 0.5066
Bi4 0.6671 0.2500 0.9923